(1)
CsNaSb3: relaxed, GGA-PBEsol.

Values from the calculation:
**Symmetry**: Pm-3m, No. 221
**Formation energy without anion corrections**: 1.11 eV/atom

Cell and atoms, written as CIF:
```
data_CsNaSb3
_chemical_formula_sum 'Cs1 Na1 Sb3'
_space_group_name_H-M_alt 'P 1'
_space_group_IT_number 1
_cell_length_a 6.144
_cell_length_b 6.144
_cell_length_c 6.144
_cell_angle_alpha 90.00
_cell_angle_beta 90.00
_cell_angle_gamma 90.00
loop_
_space_group_symop_operation_xyz
'x,y,z'
loop_
_atom_site_label
_atom_site_type_symbol
_atom_site_fract_x
_atom_site_fract_y
_atom_site_fract_z
Cs1 Cs 0.000 0.000 0.000
Sb1 Sb 0.000 0.500 0.000
Sb2 Sb 0.000 0.000 0.500
Sb3 Sb 0.500 0.000 0.000
Na1 Na 0.500 0.500 0.500
```

(2)
KIr2Cl: relaxed, GGA-PBEsol.

Values from the calculation:
**Polymorph energy (0 for the lowest one)**: 0.366 eV/atom
**Symmetry**: Pmmm, No. 47
**Formation energy without anion corrections**: 0.51 eV/atom

Cell and atoms, written as CIF:
```
data_KIr2Cl
_chemical_formula_sum 'K1 Ir2 Cl1'
_space_group_name_H-M_alt 'P 1'
_space_group_IT_number 1
_cell_length_a 2.656
_cell_length_b 4.600
_cell_length_c 6.740
_cell_angle_alpha 90.00
_cell_angle_beta 90.00
_cell_angle_gamma 90.00
loop_
_space_group_symop_operation_xyz
'x,y,z'
loop_
_atom_site_label
_atom_site_type_symbol
_atom_site_fract_x
_atom_site_fract_y
_atom_site_fract_z
K1 K 0.500 0.000 0.500
Ir1 Ir 0.000 0.000 0.000
Ir2 Ir 0.500 0.500 0.000
Cl1 Cl 0.000 0.500 0.500
```

(3)
BaCdSe3: relaxed, GGA-PBEsol.

Values from the calculation:
**Symmetry**: Pm-3m, No. 221
**Formation energy without anion corrections**: -0.70 eV/atom

Cell and atoms, written as CIF:
```
data_BaCdSe3
_chemical_formula_sum 'Ba1 Cd1 Se3'
_space_group_name_H-M_alt 'P 1'
_space_group_IT_number 1
_cell_length_a 5.216
_cell_length_b 5.216
_cell_length_c 5.216
_cell_angle_alpha 90.00
_cell_angle_beta 90.00
_cell_angle_gamma 90.00
loop_
_space_group_symop_operation_xyz
'x,y,z'
loop_
_atom_site_label
_atom_site_type_symbol
_atom_site_fract_x
_atom_site_fract_y
_atom_site_fract_z
Ba1 Ba 0.500 0.500 0.500
Se1 Se 0.000 0.500 0.000
Se2 Se 0.000 0.000 0.500
Se3 Se 0.500 0.000 0.000
Cd1 Cd 0.000 0.000 0.000
```

(4)
LiNiIr2: relaxed, GGA-PBEsol.

Values from the calculation:
**Polymorph energy (0 for the lowest one)**: 0.257 eV/atom
**Symmetry**: Cmm2, No. 35
**ΔH_f (0 K)**: 0.215 eV/atom

Cell and atoms, written as CIF:
```
data_LiNiIr2
_chemical_formula_sum 'Li1 Ni1 Ir2'
_space_group_name_H-M_alt 'P 1'
_space_group_IT_number 1
_cell_length_a 2.626
_cell_length_b 2.626
_cell_length_c 8.833
_cell_angle_alpha 90.00
_cell_angle_beta 90.00
_cell_angle_gamma 119.31
loop_
_space_group_symop_operation_xyz
'x,y,z'
loop_
_atom_site_label
_atom_site_type_symbol
_atom_site_fract_x
_atom_site_fract_y
_atom_site_fract_z
Ir1 Ir 0.000 0.000 0.011
Ir2 Ir 0.500 0.500 0.745
Li1 Li 0.000 0.000 0.493
Ni1 Ni 0.500 0.500 0.251
```

(5)
Zn2CdPd2: relaxed, GGA-PBEsol.

Values from the calculation:
**Symmetry**: P4/mbm, No. 127
**ΔH_f (0 K)**: -0.392 eV/atom

Cell and atoms, written as CIF:
```
data_Zn2CdPd2
_chemical_formula_sum 'Zn4 Cd2 Pd4'
_space_group_name_H-M_alt 'P 1'
_space_group_IT_number 1
_cell_length_a 2.849
_cell_length_b 7.339
_cell_length_c 7.339
_cell_angle_alpha 90.00
_cell_angle_beta 90.00
_cell_angle_gamma 90.00
loop_
_space_group_symop_operation_xyz
'x,y,z'
loop_
_atom_site_label
_atom_site_type_symbol
_atom_site_fract_x
_atom_site_fract_y
_atom_site_fract_z
Zn1 Zn 0.500 0.156 0.656
Zn2 Zn 0.500 0.656 0.844
Zn3 Zn 0.500 0.844 0.344
Zn4 Zn 0.500 0.344 0.156
Pd1 Pd 0.000 0.360 0.860
Pd2 Pd 0.000 0.860 0.640
Pd3 Pd 0.000 0.640 0.140
Pd4 Pd 0.000 0.140 0.360
Cd1 Cd 0.000 0.000 0.000
Cd2 Cd 0.000 0.500 0.500
```

(6)
TiAgAu2: relaxed, GGA-PBEsol.

Values from the calculation:
**Symmetry**: Fm-3m, No. 225
**ΔH_f (0 K)**: -0.257 eV/atom

Cell and atoms, written as CIF:
```
data_TiAgAu2
_chemical_formula_sum 'Ti1 Ag1 Au2'
_space_group_name_H-M_alt 'P 1'
_space_group_IT_number 1
_cell_length_a 4.531
_cell_length_b 4.531
_cell_length_c 4.531
_cell_angle_alpha 60.00
_cell_angle_beta 60.00
_cell_angle_gamma 60.00
loop_
_space_group_symop_operation_xyz
'x,y,z'
loop_
_atom_site_label
_atom_site_type_symbol
_atom_site_fract_x
_atom_site_fract_y
_atom_site_fract_z
Au1 Au 0.250 0.250 0.250
Au2 Au 0.750 0.750 0.750
Ag1 Ag 0.500 0.500 0.500
Ti1 Ti 0.000 0.000 0.000
```

(7)
Rb2NaCrCl6: relaxed, GGA-PBEsol.

Values from the calculation:
**Symmetry**: Fm-3m, No. 225
**Formation energy without anion corrections**: -1.60 eV/atom

Cell and atoms, written as CIF:
```
data_Rb2NaCrCl6
_chemical_formula_sum 'Rb2 Na1 Cr1 Cl6'
_space_group_name_H-M_alt 'P 1'
_space_group_IT_number 1
_cell_length_a 7.107
_cell_length_b 7.107
_cell_length_c 7.107
_cell_angle_alpha 60.00
_cell_angle_beta 60.00
_cell_angle_gamma 60.00
loop_
_space_group_symop_operation_xyz
'x,y,z'
loop_
_atom_site_label
_atom_site_type_symbol
_atom_site_fract_x
_atom_site_fract_y
_atom_site_fract_z
Rb1 Rb 0.250 0.250 0.250
Rb2 Rb 0.750 0.750 0.750
Na1 Na 0.500 0.500 0.500
Cr1 Cr 0.000 0.000 0.000
Cl1 Cl 0.769 0.231 0.231
Cl2 Cl 0.231 0.769 0.769
Cl3 Cl 0.769 0.231 0.769
Cl4 Cl 0.231 0.769 0.231
Cl5 Cl 0.769 0.769 0.231
Cl6 Cl 0.231 0.231 0.769
```

(8)
LaZnMo: relaxed, GGA-PBEsol.

Values from the calculation:
**Symmetry**: F-43m, No. 216
**ΔH_f (0 K)**: 0.752 eV/atom

Cell and atoms, written as CIF:
```
data_LaZnMo
_chemical_formula_sum 'La1 Zn1 Mo1'
_space_group_name_H-M_alt 'P 1'
_space_group_IT_number 1
_cell_length_a 4.519
_cell_length_b 4.519
_cell_length_c 4.519
_cell_angle_alpha 60.00
_cell_angle_beta 60.00
_cell_angle_gamma 60.00
loop_
_space_group_symop_operation_xyz
'x,y,z'
loop_
_atom_site_label
_atom_site_type_symbol
_atom_site_fract_x
_atom_site_fract_y
_atom_site_fract_z
La1 La 0.500 0.500 0.500
Mo1 Mo 0.250 0.250 0.250
Zn1 Zn 0.000 0.000 0.000
```